First-principles (PBEsol) data for an optimized crystal structure of Mn2CoTe, as listed in the Alexandria database.

Cell lengths 3.093, 3.093, 5.630 Å; angles 90.00, 90.00, 90.00 degrees
Atoms (fractional coordinates):
Mn: 0.000 0.000 0.000
Mn: 0.500 0.500 0.245
Co: 0.500 0.500 0.777
Te: 0.000 0.000 0.500

Properties
As for the symmetry: P4mm (99). The crystal system is tetragonal.

First-principles (PBEsol) data for an optimized crystal structure of MnCo2Te, as listed in the Alexandria database.

Cell lengths 4.646, 4.646, 4.646 Å; angles 133.92, 133.92, 67.21 degrees
Atoms (fractional coordinates):
Mn: 0.000 0.000 0.000
Co: 0.250 0.750 0.500
Co: 0.500 0.500 0.000
Te: 0.750 0.250 0.500

Properties
As for the symmetry: I-4m2 (119). The crystal system is tetragonal.

First-principles (PBEsol) data for an optimized crystal structure of MnCo2Te, as listed in the Alexandria database.

Cell lengths 4.931, 4.931, 2.935 Å; angles 105.48, 105.48, 116.68 degrees
Atoms (fractional coordinates):
Mn: 0.000 0.000 0.000
Co: 0.000 0.500 0.500
Co: 0.500 0.000 0.500
Te: 0.500 0.500 0.000

Properties
As for the symmetry: C2/m (12). The crystal system is monoclinic.

Number 1: total energy -29.36 eV/f.u., DOS at the Fermi energy 1.0228 states/eV/atom. Number 2: total energy -27.99 eV/f.u., DOS at the Fermi energy 1.1720 states/eV/atom. Number 3: total energy -26.86 eV/f.u., DOS at the Fermi energy 1.2849 states/eV/atom.